[1]
VASP calculation (PBE) on a geometry-optimized Pm4Dy4Sc structure.

abc: 5.037 7.967 7.967
angles: 84.27 71.57 71.57
Sites, in units of the cell vectors:
1 Pm 0.329 0.671 0.671
2 Pm 0.671 0.329 0.329
3 Pm 0.000 0.671 0.329
4 Pm 0.000 0.329 0.671
5 Dy 0.664 0.672 0.000
6 Dy 0.336 0.000 0.328
7 Dy 0.664 0.000 0.672
8 Dy 0.336 0.328 0.000
9 Sc 0.000 0.000 0.000

Summary:
* density of states at the Fermi level: 1.6315 states/eV/atom
* DFT total energy: -4.8271 eV per atom
* formation energy: 33 meV per atom
* polymorph energy (0 for the lowest one): 0 kJ/mol of formula units
* calculated volume: 31.97 Å³ per atom

[2]
VASP calculation (PBE) on a geometry-optimized TiTcO4 structure.

abc: 4.599 5.074 5.647
angles: 90.00 90.00 90.00
Each line ends with the local moment (μB).
Sites, in units of the cell vectors:
1 Tc 0.000 0.500 0.149  2.25
2 Tc 0.500 0.500 0.649  2.25
3 O 0.231 0.836 0.125  0.06
4 O 0.269 0.836 0.625  0.06
5 O 0.229 0.324 0.887  0.09
6 O 0.731 0.164 0.625  0.06
7 O 0.771 0.676 0.887  0.09
8 O 0.729 0.676 0.387  0.09
9 O 0.271 0.324 0.387  0.09
10 O 0.769 0.164 0.125  0.06
11 Ti 0.000 0.000 0.828  0.19
12 Ti 0.500 0.000 0.328  0.19

Summary:
* density of states at the Fermi level: 0.1577 states/eV/atom
* DFT total energy: -8.4665 eV per atom
* uncorrected formation energy: -2.1176 eV per atom
* calculated volume: 10.98 Å³ per atom

[3]
VASP calculation (PBE) on a geometry-optimized BaTlCr2 structure.

abc: 3.420 3.420 8.286
angles: 90.00 90.00 90.01
Each line ends with the local moment (μB).
Sites, in units of the cell vectors:
1 Tl 0.000 0.000 0.440  0.03
2 Ba 0.500 0.500 0.768  0.07
3 Cr 0.500 0.500 0.202  -3.00
4 Cr 0.000 0.000 0.090  3.13

Summary:
* density of states at the Fermi level: 0.7786 states/eV/atom
* DFT total energy: -5.4442 eV per atom
* formation energy: 440 meV per atom
* polymorph energy (0 for the lowest one): 20 kJ/mol of formula units
* calculated volume: 24.23 Å³ per atom

[4]
VASP calculation (PBE) on a geometry-optimized ZrB2Pd structure.

abc: 4.115 4.115 4.115
angles: 60.00 60.00 60.00
Sites, in units of the cell vectors:
1 B 0.750 0.750 0.750
2 B 0.250 0.250 0.250
3 Pd 0.500 0.500 0.500
4 Zr 0.000 0.000 0.000

Summary:
* density of states at the Fermi level: 0.4146 states/eV/atom
* DFT total energy: -6.5735 eV per atom
* formation energy: 200 meV per atom
* polymorph energy (0 for the lowest one): 60 kJ/mol of formula units
* calculated volume: 12.32 Å³ per atom

[5]
VASP calculation (PBE) on a geometry-optimized VCoHRu2 structure.

abc: 3.850 3.850 3.611
angles: 90.00 90.00 90.00
Sites, in units of the cell vectors:
1 Co 0.000 0.000 0.500
2 Ru 0.000 0.500 0.000
3 Ru 0.500 0.000 0.000
4 V 0.500 0.500 0.500
5 H 0.000 0.000 0.000

Summary:
* density of states at the Fermi level: 0.7089 states/eV/atom
* DFT total energy: -7.7356 eV per atom
* polymorph energy (0 for the lowest one): 0 kJ/mol of formula units
* calculated volume: 10.71 Å³ per atom

[6]
VASP calculation (PBE) on a geometry-optimized TlFe2W structure.

abc: 4.445 4.445 4.445
angles: 60.00 60.00 60.00
Each line ends with the local moment (μB).
Sites, in units of the cell vectors:
1 Fe 0.000 0.000 0.000  2.31
2 Fe 0.250 0.250 0.250  2.36
3 W 0.750 0.750 0.750  -0.67
4 Tl 0.500 0.500 0.500  -0.02

Summary:
* density of states at the Fermi level: 0.8800 states/eV/atom
* DFT total energy: -7.2734 eV per atom
* formation energy: 788 meV per atom
* polymorph energy (0 for the lowest one): 135 kJ/mol of formula units
* calculated volume: 15.52 Å³ per atom

[7]
VASP calculation (PBE) on a geometry-optimized GaAg2BRu structure.

abc: 4.904 3.777 4.904
angles: 90.00 90.00 90.00
Each line ends with the local moment (μB).
Sites, in units of the cell vectors:
1 Ag 0.500 0.000 0.000  -0.01
2 Ag 0.000 0.000 0.500  -0.01
3 Ru 0.500 0.500 0.500  1.95
4 Ga 0.000 0.000 0.000  0.00
5 B 0.000 0.500 0.000  -0.03

Summary:
* density of states at the Fermi level: 0.8944 states/eV/atom
* DFT total energy: -3.6146 eV per atom
* formation energy: 1322 meV per atom
* calculated volume: 18.16 Å³ per atom

[8]
VASP calculation (PBE) on a geometry-optimized LaFePt2 structure.

abc: 3.602 3.635 6.200
angles: 90.00 90.00 90.00
Each line ends with the local moment (μB).
Sites, in units of the cell vectors:
1 Fe 0.000 0.000 0.415  3.07
2 Pt 0.000 0.000 0.009  0.07
3 Pt 0.500 0.500 0.300  0.28
4 La 0.500 0.500 0.776  -0.05

Summary:
* density of states at the Fermi level: 1.2575 states/eV/atom
* DFT total energy: -6.6755 eV per atom
* formation energy: -308 meV per atom
* polymorph energy (0 for the lowest one): 142 kJ/mol of formula units
* calculated volume: 20.30 Å³ per atom

[9]
VASP calculation (PBE) on a geometry-optimized Pr2NpIr9 structure.

abc: 5.348 5.348 9.418
angles: 73.51 73.51 60.00
Each line ends with the local moment (μB).
Sites, in units of the cell vectors:
1 Ir 0.500 0.500 0.500  -0.04
2 Ir 0.083 0.579 0.759  -0.07
3 Ir 0.579 0.579 0.759  -0.07
4 Ir 0.579 0.083 0.759  -0.07
5 Ir 0.667 0.667 0.998  -0.22
6 Ir 0.421 0.421 0.241  -0.07
7 Ir 0.421 0.917 0.241  -0.07
8 Ir 0.333 0.333 0.002  -0.22
9 Ir 0.917 0.421 0.241  -0.07
10 Np 0.000 0.000 0.000  3.47
11 Pr 0.860 0.860 0.420  0.02
12 Pr 0.140 0.140 0.580  0.02

Summary:
* density of states at the Fermi level: 1.6920 states/eV/atom
* DFT total energy: -8.9238 eV per atom
* formation energy: -403 meV per atom
* calculated volume: 18.36 Å³ per atom

[10]
VASP calculation (PBE) on a geometry-optimized SrSc2Ru structure.

abc: 3.305 3.305 9.891
angles: 70.34 90.00 90.00
Sites, in units of the cell vectors:
1 Ru 0.500 0.750 0.750
2 Sc 0.000 0.087 0.912
3 Sc 0.000 0.413 0.588
4 Sr 0.500 0.250 0.250

Summary:
* density of states at the Fermi level: 0.6816 states/eV/atom
* DFT total energy: -6.1076 eV per atom
* formation energy: -202 meV per atom
* polymorph energy (0 for the lowest one): 0 kJ/mol of formula units
* calculated volume: 25.43 Å³ per atom

[11]
VASP calculation (PBE) on a geometry-optimized TaReAs2 structure.

abc: 2.997 2.997 8.218
angles: 90.00 90.00 115.66
Sites, in units of the cell vectors:
1 As 0.000 0.000 0.492
2 As 0.000 0.000 0.008
3 Ta 0.500 0.500 0.750
4 Re 0.500 0.500 0.250

Summary:
* density of states at the Fermi level: 0.6764 states/eV/atom
* DFT total energy: -7.9812 eV per atom
* formation energy: 419 meV per atom
* polymorph energy (0 for the lowest one): 197 kJ/mol of formula units
* calculated volume: 16.63 Å³ per atom

[12]
VASP calculation (PBE) on a geometry-optimized LaAlCo structure.

abc: 6.219 6.219 6.219
angles: 150.70 150.70 41.91
Each line ends with the local moment (μB).
Sites, in units of the cell vectors:
1 La 0.683 0.683 0.000  -0.01
2 Al 0.957 0.957 0.000  -0.01
3 Co 0.361 0.361 0.000  0.57

Summary:
* density of states at the Fermi level: 0.7200 states/eV/atom
* DFT total energy: -5.4578 eV per atom
* formation energy: -199 meV per atom
* calculated volume: 19.15 Å³ per atom